A relaxed TlCrCo2 crystal, computed with PBE.

Values from the calculation:
The value obtained for the formation energy from the elements is 528 meV per atom. The value obtained for the polymorph energy (0 for the lowest one) is 0.49 eV per formula unit. The crystal system is tetragonal.

Lattice parameters (Å, degrees): 4.7878 4.7878 4.7878 133.44 133.48 67.93
Site moments in Bohr magnetons follow the coordinates.
Fractional coordinates of all 4 atoms:
Co 0.0001 0.0001 0.0000  -0.60
Co 0.7501 0.2501 0.5000  -1.06
Cr 0.4999 0.4999 0.0000  2.92
Tl 0.2500 0.7500 0.5000  0.01